No. 1
An optimized crystal structure of PIr4, computed with GGA-PBE.

- E_tot: -38.9 eV per cell
- Fermi-level density of states: 5.9 states/eV/cell
- Space-group type: No. 229
- M_tot: 0.00 μB/f.u.
- Excess energy over the best structure of this formula in the dataset: 0.000 eV per atom
- Energy of formation from the pure elements: 0.383 eV/atom

Cell lengths 4.719, 4.719, 4.719 Å; angles 109.47, 109.47, 109.47 degrees
Atoms (fractional coordinates):
P  0.000  0.000  0.000
Ir  0.000  0.000  0.500
Ir  0.000  0.500  0.000
Ir  0.500  0.000  0.000
Ir  0.500  0.500  0.500


No. 2
An optimized crystal structure of RbCr2CoSb, computed with GGA-PBE.

- E_tot: -26.3 eV per cell
- Fermi-level density of states: 6.7 states/eV/cell
- Space-group type: No. 123
- M_tot: 8.64 μB/f.u.
- ΔE_f (raw): 1.02 eV/atom

Cell lengths 5.426, 5.426, 4.915 Å; angles 90.00, 90.00, 90.00 degrees
Atoms (fractional coordinates):
Rb  0.000  0.000  0.000
Cr  0.000  0.500  0.500
Cr  0.500  0.000  0.500
Co  0.500  0.500  0.000
Sb  0.500  0.500  0.500


No. 3
An optimized crystal structure of Ni2Pt9Au, computed with GGA-PBE.

- E_tot: -69.5 eV per cell
- Fermi-level density of states: 19.4 states/eV/cell
- Space-group type: No. 123
- M_tot: 2.06 μB/f.u.
- Energy of formation from the pure elements: -0.023 eV/atom

Cell lengths 3.928, 3.928, 11.818 Å; angles 90.00, 90.00, 90.00 degrees
Atoms (fractional coordinates):
Ni  0.000  0.000  0.161
Ni  0.000  0.000  0.839
Pt  0.000  0.500  0.000
Pt  0.000  0.500  0.322
Pt  0.000  0.500  0.678
Pt  0.500  0.000  0.000
Pt  0.500  0.000  0.322
Pt  0.500  0.000  0.678
Pt  0.500  0.500  0.161
Pt  0.500  0.500  0.500
Pt  0.500  0.500  0.839
Au  0.000  0.000  0.500


No. 4
An optimized crystal structure of Tb4Ga2Br5, computed with GGA-PBE.

- E_tot: -46.1 eV per cell
- Fermi-level density of states: 3.6 states/eV/cell
- Space-group type: No. 12
- M_tot: 0.00 μB/f.u.
- ΔE_f (raw): -1.20 eV/atom

Cell lengths 11.918, 11.918, 8.280 Å; angles 97.92, 97.92, 19.05 degrees
Atoms (fractional coordinates):
Tb  0.019  0.019  0.283
Tb  0.338  0.338  0.550
Tb  0.662  0.662  0.450
Tb  0.981  0.981  0.717
Ga  0.446  0.446  0.450
Ga  0.554  0.554  0.550
Br  0.138  0.138  0.196
Br  0.219  0.219  0.671
Br  0.500  0.500  0.000
Br  0.781  0.781  0.329
Br  0.862  0.862  0.804


No. 5
An optimized crystal structure of RbPaAu2, computed with GGA-PBE.

- E_tot: -17.6 eV per cell
- Fermi-level density of states: 7.5 states/eV/cell
- Space-group type: No. 123
- M_tot: 1.34 μB/f.u.
- Excess energy over the best structure of this formula in the dataset: 0.000 eV per atom
- Energy of formation from the pure elements: -0.153 eV/atom

Cell lengths 3.727, 3.727, 8.466 Å; angles 90.00, 90.00, 90.00 degrees
Atoms (fractional coordinates):
Rb  0.000  0.000  0.000
Pa  0.000  0.000  0.500
Au  0.500  0.500  0.317
Au  0.500  0.500  0.683


No. 6
An optimized crystal structure of Na7VSe6, computed with GGA-PBE.

- E_tot: -104.7 eV per cell
- Space-group type: No. 72
- M_tot: 0.00 μB/f.u.
- ΔE_f (raw): -0.94 eV/atom

Cell lengths 11.238, 11.238, 11.238 Å; angles 141.03, 104.58, 88.33 degrees
Atoms (fractional coordinates):
Na  0.038  0.207  0.246
Na  0.113  0.510  0.840
Na  0.171  0.010  0.397
Na  0.250  0.250  0.000
Na  0.329  0.726  0.840
Na  0.387  0.226  0.397
Na  0.462  0.707  0.169
Na  0.538  0.293  0.831
Na  0.613  0.774  0.603
Na  0.671  0.274  0.160
Na  0.750  0.750  0.000
Na  0.829  0.990  0.603
Na  0.887  0.490  0.160
Na  0.962  0.793  0.754
V  0.250  0.750  0.500
V  0.750  0.250  0.500
Se  0.073  0.853  0.584
Se  0.161  0.897  0.057
Se  0.231  0.647  0.220
Se  0.269  0.489  0.416
Se  0.339  0.397  0.736
Se  0.427  0.011  0.780
Se  0.573  0.989  0.220
Se  0.661  0.603  0.264
Se  0.731  0.511  0.584
Se  0.769  0.353  0.780
Se  0.839  0.103  0.943
Se  0.927  0.147  0.416


No. 7
An optimized crystal structure of RbSe2Br6, computed with GGA-PBE.

- E_tot: -44.1 eV per cell
- Fermi-level density of states: 8.6 states/eV/cell
- Space-group type: No. 15
- M_tot: 0.94 μB/f.u.
- ΔE_f (raw): -0.45 eV/atom

Cell lengths 9.819, 9.819, 8.735 Å; angles 102.62, 102.62, 79.33 degrees
Atoms (fractional coordinates):
Rb  0.176  0.824  0.750
Rb  0.824  0.176  0.250
Se  0.095  0.397  0.816
Se  0.397  0.095  0.316
Se  0.603  0.905  0.684
Se  0.905  0.603  0.184
Br  0.056  0.170  0.623
Br  0.121  0.626  0.041
Br  0.170  0.056  0.123
Br  0.282  0.444  0.699
Br  0.374  0.879  0.459
Br  0.444  0.282  0.199
Br  0.556  0.718  0.801
Br  0.626  0.121  0.541
Br  0.718  0.556  0.301
Br  0.830  0.944  0.877
Br  0.879  0.374  0.959
Br  0.944  0.830  0.377


No. 8
An optimized crystal structure of TiCo3, computed with GGA-PBE.

- E_tot: -30.3 eV per cell
- Fermi-level density of states: 4.2 states/eV/cell
- Space-group type: No. 221
- M_tot: 2.75 μB/f.u.
- Energy of formation from the pure elements: -0.263 eV/atom

Cell lengths 3.605, 3.605, 3.605 Å; angles 90.00, 90.00, 90.00 degrees
Atoms (fractional coordinates):
Ti  0.000  0.000  0.000
Co  0.000  0.500  0.500
Co  0.500  0.000  0.500
Co  0.500  0.500  0.000


No. 9
An optimized crystal structure of HoTa2B6, computed with GGA-PBE.

- E_tot: -74.6 eV per cell
- Fermi-level density of states: 1.5 states/eV/cell
- Space-group type: No. 191
- M_tot: 0.00 μB/f.u.
- Excess energy over the best structure of this formula in the dataset: 0.000 eV per atom
- Energy of formation from the pure elements: -0.699 eV/atom

Cell lengths 5.453, 5.453, 3.463 Å; angles 90.00, 90.00, 120.00 degrees
Atoms (fractional coordinates):
Ho  0.000  0.000  0.000
Ta  0.333  0.667  0.000
Ta  0.667  0.333  0.000
B  0.000  0.339  0.500
B  0.000  0.661  0.500
B  0.339  0.000  0.500
B  0.339  0.339  0.500
B  0.661  0.000  0.500
B  0.661  0.661  0.500


No. 10
An optimized crystal structure of LiTe2C, computed with GGA-PBE.

- E_tot: -13.8 eV per cell
- Fermi-level density of states: 1.9 states/eV/cell
- Space-group type: No. 166
- M_tot: 0.00 μB/f.u.
- ΔE_f (raw): 0.90 eV/atom

Cell lengths 8.677, 8.677, 8.677 Å; angles 23.19, 23.19, 23.19 degrees
Atoms (fractional coordinates):
Li  0.000  0.000  0.000
Te  0.107  0.107  0.107
Te  0.893  0.893  0.893
C  0.500  0.500  0.500